No. 1
The following is a DFT calculation (GGA-PBEsol) of a relaxed structure of TcTeSe2N.

The space group is P4/mmm (No. 123) and the conventional cell measures 5.2992, 5.2992 and 3.8895 Å, with angles of 90.00, 90.00 and 90.00 degrees. Symmetry generates all atoms from Tc at (0.0000, 0.0000, 0.0000), Te at (0.5000, 0.5000, 0.5000), Se at (0.0000, 0.5000, 0.5000) and N at (0.5000, 0.5000, 0.0000).

The calculation puts the uncorrected formation energy at 1480 meV per atom. The electronic total energy comes out at -0.347 Ry/atom. For the calculated volume, the calculation gives 21.84 A^3/atom.

=====

No. 2
The following is a DFT calculation (GGA-PBEsol) of a relaxed structure of LiInCu3.

The space group is Pm-3m (No. 221) and the conventional cell measures 4.8074, 4.8074 and 4.8074 Å, with angles of 90.00, 90.00 and 90.00 degrees. Symmetry generates all atoms from Li at (0.0000, 0.0000, 0.0000), In at (0.5000, 0.5000, 0.5000) and Cu at (0.0000, 0.5000, 0.5000).

The value obtained for the offset from the most stable computed form is 1.01 eV/f.u. The electronic total energy comes out at -0.210 Ry/atom. For the calculated volume, the calculation gives 22.22 A^3/atom.